# 1
Below is KTlSeO4 after structural relaxation, with properties calculated at the GGA-PBE level.

Unit cell a=6.900 b=7.105 c=7.105 alpha=61.65 beta=60.95 gamma=60.95
Element x y z (fractional)
1 K 0.000 0.000 0.000
2 K 0.000 0.500 0.500
3 Tl 0.500 0.000 0.500
4 Tl 0.000 0.000 0.500
5 Se 0.624 0.626 0.126
6 Se 0.376 0.374 0.874
7 O 0.720 0.719 0.840
8 O 0.280 0.660 0.781
9 O 0.720 0.340 0.219
10 O 0.280 0.281 0.160
11 O 0.328 0.723 0.223
12 O 0.727 0.723 0.223
13 O 0.273 0.277 0.777
14 O 0.672 0.277 0.777

# 2
Below is KTl2SeO4 after structural relaxation, with properties calculated at the GGA-PBE level.

Unit cell a=6.471 b=6.162 c=11.992 alpha=81.86 beta=74.35 gamma=58.33
Element x y z (fractional)
1 K 0.750 0.500 0.500
2 K 0.000 0.000 0.000
3 Tl 0.152 0.000 0.695
4 Tl 0.848 0.000 0.305
5 Tl 0.598 0.500 0.805
6 Tl 0.902 0.500 0.195
7 Se 0.250 0.500 0.500
8 Se 0.500 0.000 0.000
9 O 0.402 0.812 0.083
10 O 0.298 0.188 0.917
11 O 0.786 0.812 0.917
12 O 0.514 0.188 0.083
13 O 0.348 0.688 0.417
14 O 0.452 0.312 0.583
15 O 0.964 0.688 0.583
16 O 0.236 0.312 0.417

# 3
Below is K2Tl2Se2O after structural relaxation, with properties calculated at the GGA-PBE level.

Unit cell a=4.332 b=7.597 c=7.574 alpha=62.09 beta=73.38 gamma=73.44
Element x y z (fractional)
1 K 0.540 0.208 0.713
2 K 0.460 0.792 0.287
3 Tl 0.181 0.743 0.896
4 Tl 0.819 0.257 0.104
5 Se 0.164 0.370 0.302
6 Se 0.836 0.630 0.698
7 O 0.000 0.000 0.000

# 4
Below is K2TlSe2O6 after structural relaxation, with properties calculated at the GGA-PBE level.

Unit cell a=6.176 b=6.176 c=8.936 alpha=69.78 beta=69.78 gamma=60.00
Element x y z (fractional)
1 K 0.720 0.720 0.840
2 K 0.280 0.280 0.160
3 Tl 0.000 0.000 0.000
4 Se 0.425 0.425 0.725
5 Se 0.575 0.575 0.275
6 O 0.751 0.751 0.192
7 O 0.307 0.751 0.192
8 O 0.751 0.307 0.192
9 O 0.249 0.693 0.808
10 O 0.693 0.249 0.808
11 O 0.249 0.249 0.808

# 5
Below is KTl2Se2O6 after structural relaxation, with properties calculated at the GGA-PBE level.

Unit cell a=6.588 b=6.588 c=8.444 alpha=67.04 beta=67.04 gamma=60.00
Last column: magnetic moment on the atom in μB.
Element x y z (fractional)
1 K 0.000 0.000 0.000  0.01
2 Tl 0.718 0.718 0.846  0.02
3 Tl 0.282 0.282 0.154  0.02
4 Se 0.426 0.426 0.721  0.09
5 Se 0.574 0.574 0.279  0.09
6 O 0.741 0.741 0.188  0.10
7 O 0.331 0.741 0.188  0.10
8 O 0.741 0.331 0.188  0.10
9 O 0.259 0.669 0.812  0.10
10 O 0.669 0.259 0.812  0.10
11 O 0.259 0.259 0.812  0.10

# 6
Below is KTmSe2O8 after structural relaxation, with properties calculated at the GGA-PBE level.

Unit cell a=5.470 b=5.470 c=8.271 alpha=90.00 beta=90.00 gamma=120.00
Element x y z (fractional)
1 K 0.000 0.000 0.000
2 Tm 0.000 0.000 0.500
3 Se 0.667 0.333 0.263
4 Se 0.333 0.667 0.737
5 O 0.333 0.667 0.935
6 O 0.351 0.264 0.334
7 O 0.736 0.086 0.334
8 O 0.667 0.333 0.065
9 O 0.264 0.914 0.666
10 O 0.649 0.736 0.666
11 O 0.086 0.351 0.666
12 O 0.914 0.649 0.334

# 7
Below is KTmSe2O6 after structural relaxation, with properties calculated at the GGA-PBE level.

Unit cell a=5.614 b=5.614 c=7.054 alpha=66.55 beta=66.55 gamma=60.00
Element x y z (fractional)
1 K 0.000 0.000 0.000
2 Tm 0.500 0.500 0.500
3 Se 0.728 0.728 0.816
4 Se 0.272 0.272 0.184
5 O 0.072 0.516 0.707
6 O 0.705 0.072 0.707
7 O 0.484 0.295 0.293
8 O 0.928 0.484 0.293
9 O 0.295 0.928 0.293
10 O 0.516 0.705 0.707

# 8
Below is KTm3Se4O12 after structural relaxation, with properties calculated at the GGA-PBE level.

Unit cell a=7.536 b=7.536 c=7.536 alpha=107.46 beta=107.46 gamma=107.46
Last column: magnetic moment on the atom in μB.
Element x y z (fractional)
1 K 0.000 0.000 0.000  0.00
2 Tm 0.566 0.434 0.000  0.01
3 Tm 0.434 0.000 0.566  0.01
4 Tm 0.000 0.566 0.434  0.01
5 Se 0.935 0.065 0.500  0.00
6 Se 0.065 0.500 0.935  0.00
7 Se 0.500 0.935 0.065  0.00
8 Se 0.500 0.500 0.500  0.34
9 O 0.500 0.342 0.658  0.12
10 O 0.884 0.500 0.116  0.01
11 O 0.116 0.884 0.500  0.01
12 O 0.500 0.116 0.884  0.01
13 O 0.373 0.923 0.224  0.00
14 O 0.224 0.373 0.923  0.00
15 O 0.923 0.224 0.373  0.00
16 O 0.627 0.776 0.077  0.00
17 O 0.077 0.627 0.776  0.00
18 O 0.776 0.077 0.627  0.00
19 O 0.658 0.500 0.342  0.12
20 O 0.342 0.658 0.500  0.12

# 9
Below is KU2SeO4 after structural relaxation, with properties calculated at the GGA-PBE level.

Unit cell a=3.839 b=3.839 c=9.706 alpha=90.00 beta=90.00 gamma=90.00
Last column: magnetic moment on the atom in μB.
Element x y z (fractional)
1 K 0.000 0.000 0.000  0.00
2 U 0.500 0.500 0.298  1.54
3 U 0.500 0.500 0.702  1.54
4 Se 0.000 0.000 0.500  -0.08
5 O 0.000 0.500 0.206  -0.06
6 O 0.500 0.000 0.794  -0.06
7 O 0.500 0.000 0.206  -0.06
8 O 0.000 0.500 0.794  -0.06

# 10
Below is K3U2Se2O5 after structural relaxation, with properties calculated at the GGA-PBE level.

Unit cell a=4.319 b=4.319 c=14.116 alpha=98.80 beta=98.80 gamma=90.00
Last column: magnetic moment on the atom in μB.
Element x y z (fractional)
1 K 0.196 0.196 0.393  0.00
2 K 0.804 0.804 0.607  0.00
3 K 0.000 0.000 0.000  0.00
4 U 0.422 0.422 0.844  0.59
5 U 0.578 0.578 0.156  0.59
6 Se 0.676 0.676 0.352  -0.03
7 Se 0.324 0.324 0.648  -0.03
8 O 0.574 0.074 0.149  -0.02
9 O 0.426 0.926 0.851  -0.02
10 O 0.074 0.574 0.149  -0.02
11 O 0.926 0.426 0.851  -0.02
12 O 0.500 0.500 0.000  -0.02

# 11
Below is K3U2Se3O4 after structural relaxation, with properties calculated at the GGA-PBE level.

Unit cell a=4.240 b=5.636 c=12.872 alpha=102.65 beta=99.48 gamma=90.00
Last column: magnetic moment on the atom in μB.
Element x y z (fractional)
1 K 0.502 0.500 0.000  0.00
2 K 0.301 0.298 0.596  0.00
3 K 0.705 0.702 0.404  0.00
4 U 0.116 0.113 0.227  0.58
5 U 0.889 0.887 0.773  0.58
6 Se 0.002 0.000 0.000  -0.03
7 Se 0.109 0.607 0.213  -0.02
8 Se 0.896 0.393 0.787  -0.02
9 O 0.389 0.887 0.774  -0.03
10 O 0.193 0.191 0.382  -0.02
11 O 0.811 0.809 0.618  -0.02
12 O 0.615 0.113 0.226  -0.03

# 12
Below is KUSe2O8 after structural relaxation, with properties calculated at the GGA-PBE level.

Unit cell a=6.165 b=6.165 c=7.544 alpha=90.00 beta=90.00 gamma=120.00
Element x y z (fractional)
1 K 0.000 0.000 0.500
2 U 0.000 0.000 0.000
3 Se 0.333 0.667 0.783
4 Se 0.667 0.333 0.217
5 O 0.154 0.309 0.832
6 O 0.154 0.846 0.832
7 O 0.691 0.846 0.832
8 O 0.309 0.154 0.168
9 O 0.667 0.333 0.433
10 O 0.333 0.667 0.567
11 O 0.846 0.691 0.168
12 O 0.846 0.154 0.168

| no. | final energy (eV/atom) | magnetic moment (μB per cell) |
| --- | --- | --- |
| 1 | -4.851 | 0.00 |
| 2 | -4.372 | 0.00 |
| 3 | -3.451 | 0.00 |
| 4 | -4.835 | 0.00 |
| 5 | -4.775 | 1.02 |
| 6 | -5.907 | 0.00 |
| 7 | -5.982 | 0.00 |
| 8 | -6.034 | 0.98 |
| 9 | -8.381 | 3.00 |
| 10 | -7.131 | 1.00 |
| 11 | -6.739 | 1.00 |
| 12 | -6.434 | 0.00 |